1.
Here is an optimized crystal structure of Pu2ThScAs4 from the Alexandria database. Energies are from GGA-PBE.

```
data_Pu2ThScAs4
_cell_length_a 7.118
_cell_length_b 4.144
_cell_length_c 7.135
_cell_angle_alpha 90.00
_cell_angle_beta 109.59
_cell_angle_gamma 90.00
_space_group_name_H-M_alt 'P 1'
_space_group_IT_number 1
_space_group_name_Hall 'P 1'
loop_
_atom_site_label
_atom_site_type_symbol
_atom_site_fract_x
_atom_site_fract_y
_atom_site_fract_z
Pu1 Pu 0.000 0.000 0.000
Pu2 Pu 0.000 0.500 0.500
Th1 Th 0.500 0.000 0.500
Sc1 Sc 0.500 0.500 0.000
As1 As 0.249 0.500 0.238
As2 As 0.256 0.000 0.763
As3 As 0.744 0.000 0.237
As4 As 0.751 0.500 0.762
```

Results
Energy = -8.8262 eV per atom
DFT formation energy = -1.200 eV/atom
DOS at the Fermi energy = 20.8 states/eV/f.u.

2.
Here is an optimized crystal structure of PuTh2ScAs4 from the Alexandria database. Energies are from GGA-PBE.

```
data_PuTh2ScAs4
_cell_length_a 7.129
_cell_length_b 4.175
_cell_length_c 7.199
_cell_angle_alpha 90.00
_cell_angle_beta 109.77
_cell_angle_gamma 90.00
_space_group_name_H-M_alt 'P 1'
_space_group_IT_number 1
_space_group_name_Hall 'P 1'
loop_
_atom_site_label
_atom_site_type_symbol
_atom_site_fract_x
_atom_site_fract_y
_atom_site_fract_z
Pu1 Pu 0.000 0.000 0.000
Th1 Th 0.500 0.000 0.500
Th2 Th 0.500 0.500 0.000
Sc1 Sc 0.000 0.500 0.500
As1 As 0.233 0.000 0.738
As2 As 0.237 0.500 0.252
As3 As 0.763 0.500 0.748
As4 As 0.767 0.000 0.262
```

Results
Energy = -8.0588 eV per atom
DFT formation energy = -1.296 eV/atom
DOS at the Fermi energy = 12.2 states/eV/f.u.

3.
Here is an optimized crystal structure of TmPuSc2As4 from the Alexandria database. Energies are from GGA-PBE.

```
data_TmPuSc2As4
_cell_length_a 6.889
_cell_length_b 4.000
_cell_length_c 6.909
_cell_angle_alpha 90.00
_cell_angle_beta 109.49
_cell_angle_gamma 90.00
_space_group_name_H-M_alt 'P 1'
_space_group_IT_number 1
_space_group_name_Hall 'P 1'
loop_
_atom_site_label
_atom_site_type_symbol
_atom_site_fract_x
_atom_site_fract_y
_atom_site_fract_z
Tm1 Tm 0.000 0.000 0.000
Pu1 Pu 0.000 0.500 0.500
Sc1 Sc 0.500 0.000 0.500
Sc2 Sc 0.500 0.500 0.000
As1 As 0.262 0.500 0.253
As2 As 0.263 0.000 0.755
As3 As 0.737 0.000 0.245
As4 As 0.738 0.500 0.747
```

Results
Energy = -7.5605 eV per atom
DFT formation energy = -1.302 eV/atom
DOS at the Fermi energy = 12.1 states/eV/f.u.

> Which value of DOS at the Fermi energy does entry 3 give?

12.1 states/eV/f.u.